Record 1
# TbU2Ru3

A geometry-optimized TbU2Ru3 structure (PBE, the Alexandria database).

The structure in CIF format:
```
data_TbU2Ru3
_chemical_formula_sum 'Tb4 U8 Ru12'
_symmetry_space_group_name_H-M 'C 1 2/m 1'
_symmetry_Int_Tables_number 12
_symmetry_space_group_name_Hall '-C 2y'
_cell_length_a 8.055
_cell_length_b 9.686
_cell_length_c 6.549
_cell_angle_alpha 90.00
_cell_angle_beta 94.86
_cell_angle_gamma 90.00
loop_
_atom_site_label
_atom_site_fract_x
_atom_site_fract_y
_atom_site_fract_z
Tb1 0.179 0.000 0.218
U1 0.000 0.268 0.500
U2 0.000 0.319 0.000
Ru1 0.064 0.500 0.293
Ru2 0.159 0.152 0.767
```

## Properties
D(E_F)	7.00	states/eV/f.u.
formation energy	-237	meV/atom



Record 2
# Tb2URu4

A geometry-optimized Tb2URu4 structure (PBE, the Alexandria database).

The structure in CIF format:
```
data_Tb2URu4
_chemical_formula_sum 'Tb4 U2 Ru8'
_symmetry_space_group_name_H-M 'I 4/m m m'
_symmetry_Int_Tables_number 139
_symmetry_space_group_name_Hall '-I 4 2'
_cell_length_a 4.464
_cell_length_b 4.464
_cell_length_c 13.830
_cell_angle_alpha 90.00
_cell_angle_beta 90.00
_cell_angle_gamma 90.00
loop_
_atom_site_label
_atom_site_fract_x
_atom_site_fract_y
_atom_site_fract_z
Tb1 0.000 0.000 0.239
U1 0.000 0.000 0.500
Ru1 0.000 0.500 0.102
```

## Properties
D(E_F)	5.74	states/eV/f.u.
formation energy	-50	meV/atom



Record 3
# Tb2U3Ru4

A geometry-optimized Tb2U3Ru4 structure (PBE, the Alexandria database).

The structure in CIF format:
```
data_Tb2U3Ru4
_chemical_formula_sum 'Tb8 U12 Ru16'
_symmetry_space_group_name_H-M 'I b a m'
_symmetry_Int_Tables_number 72
_symmetry_space_group_name_Hall '-I 2 2c'
_cell_length_a 6.827
_cell_length_b 14.308
_cell_length_c 8.433
_cell_angle_alpha 90.00
_cell_angle_beta 90.00
_cell_angle_gamma 90.00
loop_
_atom_site_label
_atom_site_fract_x
_atom_site_fract_y
_atom_site_fract_z
Tb1 0.162 0.086 0.000
U1 0.000 0.268 0.250
U2 0.000 0.500 0.250
Ru1 0.235 0.125 0.333
```

## Properties
D(E_F)	14.62	states/eV/f.u.
formation energy	-29	meV/atom



Record 4
# Tb3URu3

A geometry-optimized Tb3URu3 structure (PBE, the Alexandria database).

The structure in CIF format:
```
data_Tb3URu3
_chemical_formula_sum 'Tb12 U4 Ru12'
_symmetry_space_group_name_H-M 'C 1 2/m 1'
_symmetry_Int_Tables_number 12
_symmetry_space_group_name_Hall '-C 2y'
_cell_length_a 12.203
_cell_length_b 3.894
_cell_length_c 14.732
_cell_angle_alpha 90.00
_cell_angle_beta 113.47
_cell_angle_gamma 90.00
loop_
_atom_site_label
_atom_site_fract_x
_atom_site_fract_y
_atom_site_fract_z
Tb1 0.035 0.000 0.300
Tb2 0.121 0.500 0.135
Tb3 0.177 0.000 0.571
U1 0.169 0.500 0.893
Ru1 0.038 0.500 0.432
Ru2 0.093 0.000 0.964
Ru3 0.182 0.500 0.744
```

## Properties
D(E_F)	5.63	states/eV/f.u.
formation energy	-309	meV/atom



Record 5
# Tb5URu4

A geometry-optimized Tb5URu4 structure (PBE, the Alexandria database).

The structure in CIF format:
```
data_Tb5URu4
_chemical_formula_sum 'Tb10 U2 Ru8'
_symmetry_space_group_name_H-M 'C 1 2/m 1'
_symmetry_Int_Tables_number 12
_symmetry_space_group_name_Hall '-C 2y'
_cell_length_a 15.878
_cell_length_b 4.514
_cell_length_c 6.923
_cell_angle_alpha 90.00
_cell_angle_beta 105.54
_cell_angle_gamma 90.00
loop_
_atom_site_label
_atom_site_fract_x
_atom_site_fract_y
_atom_site_fract_z
Tb1 0.000 0.000 0.000
Tb2 0.169 0.500 0.046
Tb3 0.171 0.500 0.545
U1 0.000 0.000 0.500
Ru1 0.004 0.500 0.717
Ru2 0.141 0.000 0.769
```

## Properties
D(E_F)	7.76	states/eV/f.u.
formation energy	-339	meV/atom



Record 6
# Tb3U2Ru4

A geometry-optimized Tb3U2Ru4 structure (PBE, the Alexandria database).

The structure in CIF format:
```
data_Tb3U2Ru4
_chemical_formula_sum 'Tb6 U4 Ru8'
_symmetry_space_group_name_H-M 'C 1 2/m 1'
_symmetry_Int_Tables_number 12
_symmetry_space_group_name_Hall '-C 2y'
_cell_length_a 10.997
_cell_length_b 4.203
_cell_length_c 8.858
_cell_angle_alpha 90.00
_cell_angle_beta 101.34
_cell_angle_gamma 90.00
loop_
_atom_site_label
_atom_site_fract_x
_atom_site_fract_y
_atom_site_fract_z
Tb1 0.000 0.000 0.000
Tb2 0.125 0.500 0.385
U1 0.173 0.500 0.779
Ru1 0.091 0.000 0.637
Ru2 0.218 0.500 0.093
```

## Properties
D(E_F)	11.07	states/eV/f.u.
formation energy	-372	meV/atom



Record 7
# Tb2URu3

A geometry-optimized Tb2URu3 structure (PBE, the Alexandria database).

The structure in CIF format:
```
data_Tb2URu3
_chemical_formula_sum 'Tb8 U4 Ru12'
_symmetry_space_group_name_H-M 'C 1 2/c 1'
_symmetry_Int_Tables_number 15
_symmetry_space_group_name_Hall '-C 2yc'
_cell_length_a 13.440
_cell_length_b 5.575
_cell_length_c 6.926
_cell_angle_alpha 90.00
_cell_angle_beta 106.61
_cell_angle_gamma 90.00
loop_
_atom_site_label
_atom_site_fract_x
_atom_site_fract_y
_atom_site_fract_z
Tb1 0.205 0.004 0.102
U1 0.000 0.236 0.250
Ru1 0.000 0.169 0.750
Ru2 0.110 0.485 0.548
```

## Properties
D(E_F)	3.25	states/eV/f.u.
formation energy	-305	meV/atom



Record 8
# TbURu

A geometry-optimized TbURu structure (PBE, the Alexandria database).

The structure in CIF format:
```
data_TbURu
_chemical_formula_sum 'Tb1 U1 Ru1'
_symmetry_space_group_name_H-M 'P 3 m 1'
_symmetry_Int_Tables_number 156
_symmetry_space_group_name_Hall 'P 3 -2"'
_cell_length_a 3.5748
_cell_length_b 3.5748
_cell_length_c 6.3799
_cell_angle_alpha 90.00
_cell_angle_beta 90.00
_cell_angle_gamma 120.00
loop_
_atom_site_label
_atom_site_fract_x
_atom_site_fract_y
_atom_site_fract_z
Tb1 0.0000 0.0000 0.0000
U1 0.6667 0.3333 0.4188
Ru1 0.3333 0.6667 0.6528
```

## Properties
D(E_F)	5.11	states/eV/f.u.
formation energy	47	meV/atom



Copy entry 6 word for word.
# Tb3U2Ru4

A geometry-optimized Tb3U2Ru4 structure (PBE, the Alexandria database).

The structure in CIF format:
```
data_Tb3U2Ru4
_chemical_formula_sum 'Tb6 U4 Ru8'
_symmetry_space_group_name_H-M 'C 1 2/m 1'
_symmetry_Int_Tables_number 12
_symmetry_space_group_name_Hall '-C 2y'
_cell_length_a 10.997
_cell_length_b 4.203
_cell_length_c 8.858
_cell_angle_alpha 90.00
_cell_angle_beta 101.34
_cell_angle_gamma 90.00
loop_
_atom_site_label
_atom_site_fract_x
_atom_site_fract_y
_atom_site_fract_z
Tb1 0.000 0.000 0.000
Tb2 0.125 0.500 0.385
U1 0.173 0.500 0.779
Ru1 0.091 0.000 0.637
Ru2 0.218 0.500 0.093
```

## Properties
D(E_F)	11.07	states/eV/f.u.
formation energy	-372	meV/atom



What did the third record say?
# Tb2U3Ru4

A geometry-optimized Tb2U3Ru4 structure (PBE, the Alexandria database).

The structure in CIF format:
```
data_Tb2U3Ru4
_chemical_formula_sum 'Tb8 U12 Ru16'
_symmetry_space_group_name_H-M 'I b a m'
_symmetry_Int_Tables_number 72
_symmetry_space_group_name_Hall '-I 2 2c'
_cell_length_a 6.827
_cell_length_b 14.308
_cell_length_c 8.433
_cell_angle_alpha 90.00
_cell_angle_beta 90.00
_cell_angle_gamma 90.00
loop_
_atom_site_label
_atom_site_fract_x
_atom_site_fract_y
_atom_site_fract_z
Tb1 0.162 0.086 0.000
U1 0.000 0.268 0.250
U2 0.000 0.500 0.250
Ru1 0.235 0.125 0.333
```

## Properties
D(E_F)	14.62	states/eV/f.u.
formation energy	-29	meV/atom